[1]
This record from Alexandria describes an optimized crystal structure of AcYBi2O6. The functional is GGA-PBE.

Unit cell a=6.2125 b=6.2150 c=6.2739 alpha=60.27 beta=60.32 gamma=59.94
Fractional positions:
O 0.6903 0.1569 0.7459
O 0.1578 0.4074 0.7451
O 0.6215 0.1927 0.2392
O 0.1931 0.9461 0.2398
O 0.4072 0.6899 0.7451
O 0.9467 0.6219 0.2389
Bi 0.0187 0.0189 0.9429
Bi 0.5210 0.5221 0.4355
Ac 0.7970 0.7976 0.6080
Y 0.3084 0.3082 0.0747

Calculated values
space-group type = P1 (1)
M_tot = 0.0 Bohr magnetons per cell
raw total energy = -71.075 eV per cell

[2]
This record from Alexandria describes an optimized crystal structure of AcYBiO2. The functional is GGA-PBE.

Unit cell a=4.0503 b=4.0503 c=7.6790 alpha=105.29 beta=105.29 gamma=90.00
Fractional positions:
Bi 0.5099 0.5099 0.0199
Y 0.1689 0.1689 0.3378
Ac 0.8375 0.8375 0.6751
O 0.7418 0.2418 0.4836
O 0.2418 0.7418 0.4836

Calculated values
space-group type = I4mm (107)
M_tot = 0.0 Bohr magnetons per cell
raw total energy = -37.350 eV per cell

[3]
This record from Alexandria describes an optimized crystal structure of AcYBiO6. The functional is GGA-PBE.

Unit cell a=5.2287 b=5.8535 c=5.8535 alpha=120.00 beta=90.00 gamma=90.00
Fractional positions:
O 0.7225 0.6983 0.6849
O 0.2775 0.3151 0.3017
O 0.2775 0.6983 0.0134
O 0.7225 0.3151 0.0134
O 0.2775 0.9866 0.6849
O 0.7225 0.9866 0.3017
Ac 0.0000 0.3333 0.6667
Y 0.5000 0.6667 0.3333
Bi 0.5000 0.0000 0.0000

Calculated values
space-group type = P312 (149)
M_tot = 1.1 Bohr magnetons per cell
raw total energy = -63.476 eV per cell

[4]
This record from Alexandria describes an optimized crystal structure of AcZnBiO4. The functional is GGA-PBE.

Unit cell a=5.8247 b=5.8247 c=7.8176 alpha=90.00 beta=90.00 gamma=113.80
Fractional positions:
O 0.7525 0.2475 0.5286
O 0.7525 0.2475 0.9714
O 0.2313 0.2395 0.7500
O 0.7605 0.7687 0.7500
O 0.2475 0.7525 0.4714
O 0.7687 0.7605 0.2500
O 0.2475 0.7525 0.0286
O 0.2395 0.2313 0.2500
Bi 0.8383 0.1617 0.2500
Bi 0.1617 0.8383 0.7500
Zn 0.8391 0.1609 0.7500
Zn 0.1609 0.8391 0.2500
Ac 0.5000 0.5000 0.5000
Ac 0.5000 0.5000 0.0000

Calculated values
space-group type = Cmcm (63)
M_tot = 0.0 Bohr magnetons per cell
raw total energy = -85.132 eV per cell

[5]
This record from Alexandria describes an optimized crystal structure of AcZrBiO6. The functional is GGA-PBE.

Unit cell a=5.6393 b=5.6393 c=10.7428 alpha=90.00 beta=90.00 gamma=120.00
Fractional positions:
O 0.9986 0.3665 0.6409
O 0.6335 0.6321 0.6409
O 0.6321 0.9986 0.3591
O 0.3679 0.3665 0.8591
O 0.3665 0.9986 0.1409
O 0.0014 0.6335 0.3591
O 0.0014 0.3679 0.1409
O 0.6321 0.6335 0.1409
O 0.3665 0.3679 0.3591
O 0.9986 0.6321 0.8591
O 0.6335 0.0014 0.8591
O 0.3679 0.0014 0.6409
Zr 0.6667 0.3333 0.7500
Zr 0.3333 0.6667 0.2500
Bi 0.6667 0.3333 0.2500
Bi 0.3333 0.6667 0.7500
Ac 0.0000 0.0000 0.5000
Ac 0.0000 0.0000 0.0000

Calculated values
space-group type = P-31c (163)
M_tot = 0.0 Bohr magnetons per cell
raw total energy = -135.796 eV per cell

[6]
This record from Alexandria describes an optimized crystal structure of AcZrBi2O6. The functional is GGA-PBE.

Unit cell a=6.2905 b=6.2896 c=6.0942 alpha=89.99 beta=121.08 gamma=120.01
Fractional positions:
O 0.8669 0.7643 0.2064
O 0.8162 0.6470 0.6978
O 0.0650 0.1681 0.6979
O 0.5438 0.8958 0.6977
O 0.4562 0.1018 0.2070
O 0.1189 0.3533 0.2067
Bi 0.5800 0.7895 0.3554
Bi 0.4968 0.2479 0.7304
Zr 0.0259 0.0124 0.0243
Ac 0.9958 0.4974 0.4790

Calculated values
space-group type = R3 (146)
M_tot = 0.5 Bohr magnetons per cell
raw total energy = -71.983 eV per cell

[7]
This record from Alexandria describes an optimized crystal structure of AcZrBi2O8. The functional is GGA-PBE.

Unit cell a=5.1732 b=5.1736 c=7.1462 alpha=90.00 beta=90.00 gamma=87.63
Fractional positions:
O 0.6986 0.6992 0.0000
O 0.8040 0.1966 0.7826
O 0.3285 0.3277 0.5000
O 0.8039 0.1966 0.2174
O 0.6715 0.6723 0.5000
O 0.1961 0.8034 0.7826
O 0.3014 0.3008 0.0000
O 0.1960 0.8034 0.2174
Bi 0.5000 0.5000 0.7603
Bi 0.5000 0.5000 0.2397
Zr 0.0000 0.0000 0.0000
Ac 0.0000 0.0000 0.5000

Calculated values
space-group type = Cmmm (65)
M_tot = 0.0 Bohr magnetons per cell
raw total energy = -83.861 eV per cell

[8]
This record from Alexandria describes an optimized crystal structure of AcZrBiO5. The functional is GGA-PBE.

Unit cell a=6.2619 b=6.2619 c=8.6647 alpha=110.03 beta=110.03 gamma=98.98
Fractional positions:
Zr 0.0000 0.0000 0.5000
Zr 0.0000 0.0000 0.0000
O 0.9746 0.0254 0.7500
O 0.8751 0.3073 0.0480
O 0.2556 0.3404 0.6287
O 0.1249 0.6927 0.9520
O 0.3404 0.2556 0.1287
O 0.0254 0.9746 0.2500
O 0.7444 0.6596 0.3713
O 0.6596 0.7444 0.8713
O 0.6927 0.1249 0.4520
O 0.3073 0.8751 0.5480
Bi 0.2903 0.7097 0.7500
Bi 0.7097 0.2903 0.2500
Ac 0.6873 0.3127 0.7500
Ac 0.3127 0.6873 0.2500

Calculated values
space-group type = C2/c (15)
M_tot = 0.0 Bohr magnetons per cell
raw total energy = -124.484 eV per cell